1.
Compound: SrPrScO4
Source: the Alexandria database
Functional: PBE
Structure: relaxed

```
SrPrScO4
1.0
-4.679 4.104 2.839
3.032 -5.640 2.406
4.300 3.299 2.317
O Sc Sr Pr
8 2 2 2
direct
0.416 0.584 0.434 O
0.584 0.416 0.934 O
0.982 0.530 0.241 O
0.018 0.470 0.741 O
0.530 0.982 0.741 O
0.470 0.018 0.241 O
0.929 0.071 0.090 O
0.071 0.929 0.590 O
0.254 0.746 0.496 Sc
0.746 0.254 0.996 Sc
0.604 0.396 0.513 Sr
0.396 0.604 0.013 Sr
0.108 0.892 0.986 Pr
0.892 0.108 0.486 Pr
```

Calculated values
crystal system	orthorhombic
space group	Cmc2_1

***

2.
Compound: SrPrScO4
Source: the Alexandria database
Functional: PBE
Structure: relaxed

```
SrPrScO4
1.0
-5.927 2.611 2.467
-3.385 -1.156 5.936
6.109 1.398 -2.959
Pr Sr O Sc
1 1 4 1
direct
0.361 0.361 0.000 Pr
0.647 0.647 0.000 Sr
0.490 0.990 0.500 O
0.176 0.176 0.000 O
0.990 0.490 0.500 O
0.831 0.831 0.000 O
0.005 0.005 0.000 Sc
```

Calculated values
crystal system	tetragonal
space group	I4mm

***

1 takes first place; second place is 1.8 kJ/mol of atoms up.

***

1.
Compound: Pr3Se2O2
Source: the Alexandria database
Functional: PBE
Structure: relaxed

```
Pr3Se2O2
1.0
0.698 -3.388 2.031
-0.192 -5.787 -5.626
10.118 -1.421 -1.885
Pr O Se
6 4 4
direct
0.095 0.979 0.832 Pr
0.867 0.484 0.783 Pr
0.133 0.516 0.217 Pr
0.905 0.021 0.168 Pr
0.402 0.739 0.457 Pr
0.598 0.261 0.543 Pr
0.044 0.236 0.676 O
0.579 0.488 0.354 O
0.421 0.512 0.646 O
0.956 0.764 0.324 O
0.743 0.863 0.650 Se
0.395 0.242 0.969 Se
0.605 0.758 0.031 Se
0.257 0.137 0.350 Se
```

Calculated values
crystal system	monoclinic
space group	C2/m

***

2.
Compound: Pr3Se2O2
Source: the Alexandria database
Functional: PBE
Structure: relaxed

```
Pr3Se2O2
1.0
-3.585 1.064 0.331
0.139 -6.271 0.503
1.149 1.676 7.064
Pr Se O
3 2 2
direct
0.227 0.454 0.769 Pr
0.000 0.000 0.000 Pr
0.773 0.546 0.231 Pr
0.883 0.767 0.627 Se
0.117 0.233 0.373 Se
0.362 0.725 0.060 O
0.638 0.275 0.940 O
```

Calculated values
crystal system	triclinic
space group	P-1

***

1 takes first place; second place is 23.8 kJ/mol of atoms up.

***

1.
Compound: Pr3SiO
Source: the Alexandria database
Functional: PBE
Structure: relaxed

```
Pr3SiO
1.0
4.914 0.000 0.000
0.000 4.914 0.000
0.000 0.000 4.914
Si Pr O
1 3 1
direct
0.500 0.500 0.500 Si
0.500 0.000 0.000 Pr
0.000 0.000 0.500 Pr
0.000 0.500 0.000 Pr
0.000 0.000 0.000 O
```

Calculated values
crystal system	cubic
space group	Pm-3m

***

2.
Compound: Pr3SiO
Source: the Alexandria database
Functional: PBE
Structure: relaxed

```
Pr3SiO
1.0
-0.437 -5.913 -2.012
-1.561 -2.719 8.331
-7.882 2.107 -4.482
Si Pr O
4 12 4
direct
0.883 0.579 0.612 Si
0.617 0.079 0.612 Si
0.117 0.421 0.388 Si
0.383 0.921 0.388 Si
0.403 0.148 0.935 Pr
0.613 0.268 0.374 Pr
0.887 0.768 0.374 Pr
0.410 0.553 0.192 Pr
0.590 0.447 0.808 Pr
0.113 0.232 0.626 Pr
0.097 0.648 0.935 Pr
0.903 0.352 0.065 Pr
0.387 0.732 0.626 Pr
0.090 0.053 0.192 Pr
0.910 0.947 0.808 Pr
0.597 0.852 0.065 Pr
0.258 0.891 0.926 O
0.742 0.109 0.074 O
0.758 0.609 0.074 O
0.242 0.391 0.926 O
```

Calculated values
crystal system	monoclinic
space group	P2_1/c

***

1 takes first place; second place is 1.6 kJ/mol of atoms up.

***

1.
Compound: Pr2SiTeO4
Source: the Alexandria database
Functional: PBE
Structure: relaxed

```
Pr2SiTeO4
1.0
-2.151 0.770 5.980
-5.795 -4.197 -1.544
5.793 -9.201 3.269
Pr O Te Si
8 16 4 4
direct
0.388 0.750 0.500 Pr
0.388 0.750 0.000 Pr
0.887 0.960 0.250 Pr
0.612 0.250 0.000 Pr
0.113 0.040 0.750 Pr
0.887 0.540 0.750 Pr
0.612 0.250 0.500 Pr
0.113 0.460 0.250 Pr
0.047 0.771 0.885 O
0.953 0.229 0.115 O
0.953 0.229 0.385 O
0.047 0.771 0.615 O
0.047 0.729 0.385 O
0.269 0.078 0.536 O
0.731 0.578 0.964 O
0.953 0.271 0.885 O
0.731 0.578 0.536 O
0.269 0.422 0.036 O
0.047 0.729 0.115 O
0.731 0.922 0.464 O
0.731 0.922 0.036 O
0.269 0.422 0.464 O
0.269 0.078 0.964 O
0.953 0.271 0.615 O
0.403 0.424 0.750 Te
0.597 0.924 0.750 Te
0.403 0.076 0.250 Te
0.597 0.576 0.250 Te
0.886 0.750 0.500 Si
0.114 0.250 0.500 Si
0.114 0.250 0.000 Si
0.886 0.750 0.000 Si
```

Calculated values
crystal system	orthorhombic
space group	Pbcm

***

2.
Compound: Pr2SiTeO4
Source: the Alexandria database
Functional: PBE
Structure: relaxed

```
Pr2SiTeO4
1.0
-0.410 -5.801 -2.957
5.562 2.809 -6.282
8.315 -3.004 4.739
Si O Te Pr
4 16 4 8
direct
0.690 0.942 0.626 Si
0.810 0.442 0.626 Si
0.190 0.558 0.374 Si
0.310 0.058 0.374 Si
0.867 0.622 0.626 O
0.694 0.422 0.482 O
0.641 0.408 0.748 O
0.489 0.184 0.345 O
0.859 0.908 0.748 O
0.511 0.816 0.655 O
0.011 0.684 0.345 O
0.989 0.316 0.655 O
0.133 0.378 0.374 O
0.806 0.922 0.482 O
0.306 0.578 0.518 O
0.367 0.878 0.374 O
0.633 0.122 0.626 O
0.141 0.092 0.252 O
0.194 0.078 0.518 O
0.359 0.592 0.252 O
0.213 0.619 0.908 Te
0.787 0.381 0.092 Te
0.287 0.119 0.908 Te
0.713 0.881 0.092 Te
0.348 0.305 0.605 Pr
0.152 0.805 0.605 Pr
0.848 0.195 0.395 Pr
0.304 0.337 0.153 Pr
0.804 0.163 0.847 Pr
0.652 0.695 0.395 Pr
0.696 0.663 0.847 Pr
0.196 0.837 0.153 Pr
```

Calculated values
crystal system	monoclinic
space group	P2_1/c

***

1 takes first place; second place is 0.6 kJ/mol of atoms up.

***

1.
Compound: Pr2SnO
Source: the Alexandria database
Functional: PBE
Structure: relaxed

```
Pr2SnO
1.0
3.281 0.000 0.000
0.000 3.281 0.000
0.000 0.000 8.045
Pr Sn O
2 1 1
direct
0.000 0.000 0.199 Pr
0.000 0.000 0.801 Pr
0.500 0.500 0.500 Sn
0.500 0.500 0.000 O
```

Calculated values
crystal system	tetragonal
space group	P4/mmm

***

2.
Compound: Pr2SnO
Source: the Alexandria database
Functional: PBE
Structure: relaxed

```
Pr2SnO
1.0
-1.506 3.380 -0.577
-3.356 0.300 -1.634
-5.081 0.889 6.307
Pr O Sn
2 1 1
direct
0.775 0.775 0.676 Pr
0.225 0.225 0.324 Pr
0.500 0.500 0.500 O
0.000 0.000 0.000 Sn
```

Calculated values
crystal system	trigonal
space group	R-3m

***

3.
Compound: Pr2SnO
Source: the Alexandria database
Functional: PBE
Structure: relaxed

```
Pr2SnO
1.0
4.712 0.000 -0.003
0.000 4.712 -0.003
0.004 0.004 9.266
Pr Sn O
4 2 2
direct
0.750 0.750 0.837 Pr
0.250 0.250 0.163 Pr
0.750 0.250 0.500 Pr
0.250 0.750 0.500 Pr
0.750 0.750 0.203 Sn
0.250 0.250 0.797 Sn
0.250 0.250 0.421 O
0.750 0.750 0.579 O
```

Calculated values
crystal system	tetragonal
space group	P4/nmm

***

4.
Compound: Pr2SnO
Source: the Alexandria database
Functional: PBE
Structure: relaxed

```
Pr2SnO
1.0
-2.247 -3.196 -1.752
8.097 -4.284 -2.568
0.201 -5.720 10.177
Sn Pr O
4 8 4
direct
0.250 0.737 0.199 Sn
0.750 0.263 0.801 Sn
0.750 0.763 0.699 Sn
0.250 0.237 0.301 Sn
0.250 0.514 0.730 Pr
0.250 0.014 0.770 Pr
0.750 0.654 0.977 Pr
0.250 0.846 0.477 Pr
0.750 0.986 0.230 Pr
0.250 0.346 0.023 Pr
0.750 0.486 0.270 Pr
0.750 0.154 0.523 Pr
0.750 0.940 0.422 O
0.250 0.560 0.922 O
0.750 0.440 0.078 O
0.250 0.060 0.578 O
```

Calculated values
crystal system	orthorhombic
space group	Pnma

***

3 takes first place; second place is 6.4 kJ/mol of atoms up.

***

1.
Compound: PrSnO
Source: the Alexandria database
Functional: PBE
Structure: relaxed

```
PrSnO
1.0
4.114 0.000 -0.001
0.000 4.114 0.001
0.001 -0.001 8.207
O Pr Sn
2 2 2
direct
0.250 0.250 0.500 O
0.750 0.750 0.500 O
0.250 0.750 0.358 Pr
0.750 0.250 0.642 Pr
0.250 0.750 0.930 Sn
0.750 0.250 0.070 Sn
```

Calculated values
crystal system	tetragonal
space group	P4/nmm

***

2.
Compound: PrSnO
Source: the Alexandria database
Functional: PBE
Structure: relaxed

```
PrSnO
1.0
3.926 0.000 0.000
0.000 5.865 0.000
-1.963 0.000 8.747
Sn O Pr
2 2 2
direct
0.751 0.250 0.503 Sn
0.249 0.750 0.497 Sn
0.000 0.000 0.000 O
0.000 0.500 0.000 O
0.086 0.250 0.173 Pr
0.914 0.750 0.827 Pr
```

Calculated values
crystal system	orthorhombic
space group	Cmcm

***

1 takes first place; second place is 77.6 kJ/mol of atoms up.

***

1.
Compound: Pr3SnO6
Source: the Alexandria database
Functional: PBE
Structure: relaxed

```
Pr3SnO6
1.0
5.873 0.000 0.000
0.000 7.538 0.030
0.000 -1.653 7.354
O Pr Sn
12 6 2
direct
0.201 0.674 0.646 O
0.643 0.226 0.774 O
0.143 0.774 0.226 O
0.171 0.411 0.898 O
0.171 0.102 0.589 O
0.728 0.981 0.019 O
0.701 0.646 0.674 O
0.671 0.898 0.411 O
0.201 0.354 0.326 O
0.671 0.589 0.102 O
0.228 0.019 0.981 O
0.701 0.326 0.354 O
0.478 0.305 0.090 Pr
0.478 0.910 0.695 Pr
0.978 0.090 0.305 Pr
0.425 0.399 0.601 Pr
0.925 0.601 0.399 Pr
0.978 0.695 0.910 Pr
0.989 0.167 0.833 Sn
0.489 0.833 0.167 Sn
```

Calculated values
crystal system	orthorhombic
space group	Cmc2_1

***

2.
Compound: Pr3SnO6
Source: the Alexandria database
Functional: PBE
Structure: relaxed

```
Pr3SnO6
1.0
-5.883 -2.855 2.602
-0.427 -3.644 -6.006
4.143 -4.793 3.065
O Sn Pr
12 2 6
direct
0.670 0.110 0.941 O
0.536 0.415 0.210 O
0.941 0.670 0.110 O
0.415 0.210 0.536 O
0.210 0.536 0.415 O
0.585 0.790 0.464 O
0.330 0.890 0.059 O
0.890 0.059 0.330 O
0.110 0.941 0.670 O
0.790 0.464 0.585 O
0.059 0.330 0.890 O
0.464 0.585 0.790 O
0.000 0.000 0.000 Sn
0.500 0.500 0.500 Sn
0.931 0.744 0.439 Pr
0.439 0.931 0.744 Pr
0.069 0.256 0.561 Pr
0.561 0.069 0.256 Pr
0.256 0.561 0.069 Pr
0.744 0.439 0.931 Pr
```

Calculated values
crystal system	trigonal
space group	R-3

***

2 takes first place; second place is 3.4 kJ/mol of atoms up.

***

1.
Compound: SrPrO
Source: the Alexandria database
Functional: PBE
Structure: relaxed

```
SrPrO
1.0
3.489 0.000 0.000
0.000 3.489 0.000
-1.745 -1.745 7.072
Sr O Pr
1 1 1
direct
0.035 0.035 0.070 Sr
0.215 0.215 0.430 O
0.750 0.750 0.500 Pr
```

Calculated values
crystal system	tetragonal
space group	I4mm

***

2.
Compound: SrPrO
Source: the Alexandria database
Functional: PBE
Structure: relaxed

```
SrPrO
1.0
-1.294 1.737 -2.955
-2.004 -0.150 3.061
5.573 11.303 4.204
O Sr Pr
2 2 2
direct
0.280 0.561 0.500 O
0.609 0.218 0.000 O
0.276 0.551 0.881 Sr
0.276 0.551 0.119 Sr
0.613 0.226 0.622 Pr
0.613 0.226 0.378 Pr
```

Calculated values
crystal system	orthorhombic
space group	Amm2

***

3.
Compound: SrPrO
Source: the Alexandria database
Functional: PBE
Structure: relaxed

```
SrPrO
1.0
-0.383 3.246 1.775
-2.637 -1.154 -2.355
-3.024 -3.015 4.863
Pr Sr O
1 1 1
direct
0.667 0.333 0.438 Pr
0.000 0.000 0.893 Sr
0.333 0.667 0.669 O
```

Calculated values
crystal system	trigonal
space group	P3m1

***

3 takes first place; second place is 7.7 kJ/mol of atoms up.